(P)
SrIr2Rh: optimized geometry, PBE-GGA.

Calculated values
Total magnetization in μB/f.u.: 0.00

Structure (POSCAR):
```
SrIr2Rh
1.0
4.693 -1.432 0.000
4.693 1.432 0.000
-0.912 0.000 5.551
Sr Ir Rh
1 2 1
Cartesian
0.000 0.000 0.000
1.613 0.000 3.798
6.861 0.000 1.753
4.237 0.000 2.776
```

=====

(Q)
SrIr2Rh: optimized geometry, PBE-GGA.

Calculated values
Total magnetization in μB/f.u.: 0.00

Structure (POSCAR):
```
SrIr2Rh
1.0
4.964 0.000 0.000
0.000 2.852 0.000
-1.620 0.000 4.856
Sr Ir Rh
1 2 1
Cartesian
0.000 0.000 0.000
-0.810 1.426 2.428
1.672 0.000 2.428
2.482 1.426 0.000
```

=====

Which structure is most stable, and how do the rest compare? From most to least stable: (P), (Q).